Nd3AsP2 | Alexandria | PBE-GGA | optimized geometry; E = -38.92 eV per formula unit; total magnetization = 0.00 μB per formula unit; energy of formation = -1.525 eV/atom; space-group type = I4/mmm, No. 139
1.0
4.2026 0.0000 0.0000
0.0000 4.2026 0.0000
0.0000 0.0000 17.8335
Nd As P
6 2 4
Cartesian
0.0000 0.0000 0.0000
0.0000 0.0000 5.9034
0.0000 0.0000 11.9300
2.1013 2.1013 3.0133
2.1013 2.1013 8.9167
2.1013 2.1013 14.8202
0.0000 0.0000 8.9167
2.1013 2.1013 0.0000
0.0000 0.0000 2.9734
0.0000 0.0000 14.8601
2.1013 2.1013 5.9434
2.1013 2.1013 11.8901